The following is a DFT calculation (PBE-GGA) of an optimized crystal structure of LiCd2Sb2.

symmetry: No. 127
relative energy among the computed polymorphs: 123 meV/atom
V: 258 Å³ per cell

Cell: 8.3050 8.3050 3.7359 Å, 90.00 90.00 90.00°
Closest atoms and distances in Å follow each position.
Atoms (fractional coordinates):
1 Cd 0.6271 0.1271 0.0000  6 Sb 2.97-3.16, 1 Cd 2.99, 2 Li 3.27
2 Cd 0.8729 0.6271 0.0000  6 Sb 2.97-3.16, 1 Cd 2.99, 2 Li 3.27
3 Cd 0.1271 0.3729 0.0000  6 Sb 2.97-3.16, 1 Cd 2.99, 2 Li 3.27
4 Cd 0.3729 0.8729 0.0000  6 Sb 2.97-3.16, 1 Cd 2.99, 2 Li 3.27
5 Sb 0.6759 0.8241 0.5000  6 Cd 2.97-3.16
6 Sb 0.8241 0.3241 0.5000  6 Cd 2.97-3.16
7 Sb 0.1759 0.6759 0.5000  6 Cd 2.97-3.16
8 Sb 0.3241 0.1759 0.5000  6 Cd 2.97-3.16
9 Li 0.0000 0.0000 0.0000  4 Cd 3.27, 8 Sb 3.59
10 Li 0.5000 0.5000 0.0000  4 Cd 3.27, 8 Sb 3.59